[1]
Density functional theory data (GGA-PBE) for an optimized crystal structure of Tl12Se5S2.

Cell: 7.8180 10.7207 8.6421 Å, 100.65 90.00 111.38°
Positions (direct):
Tl 0.5819 0.7096 0.4514
Tl 0.4716 0.9432 0.2326
S 0.2510 0.0000 0.0000
Tl 0.4181 0.2904 0.5486
Tl 0.5284 0.0568 0.7674
Tl 0.4242 0.3629 0.1323
Tl 0.5758 0.6371 0.8677
Se 0.3125 0.6249 0.1297
Tl 0.1277 0.7096 0.4514
Tl 0.0614 0.6371 0.8677
Tl 0.9590 0.9180 0.7866
S 0.7490 0.0000 0.0000
Tl 0.8723 0.2904 0.5486
Se 0.2512 0.5023 0.6173
Se 0.7488 0.4977 0.3827
Tl 0.0410 0.0820 0.2134
Se 0.6875 0.3751 0.8703
Tl 0.9386 0.3629 0.1323
Se 0.0000 0.0000 0.5000

Results
theoretical density = 7314 kg/m³
density of states at the Fermi level = 0.07 states/eV/atom
formation energy without anion corrections = -5.45 eV per formula unit
SG = C2/m, No. 12

=====

[2]
Density functional theory data (GGA-PBE) for an optimized crystal structure of CoP2Rh.

Cell: 5.0648 5.0648 6.2949 Å, 66.28 66.28 90.00°
Positions (direct):
Co 0.2500 0.7500 0.5000
P 0.1475 0.6250 0.2500
P 0.3750 0.3975 0.7500
P 0.8750 0.8525 0.7500
Co 0.5000 0.5000 0.0000
Rh 0.0000 0.0000 0.0000
P 0.6025 0.1250 0.2500
Rh 0.7500 0.2500 0.5000

Results
theoretical density = 5597 kg/m³
density of states at the Fermi level = 0.61 states/eV/atom
ΔE to the lowest computed polymorph = 111 meV per atom
energy of formation from the pure elements = -0.305 eV per atom
SG = I-42d, No. 122

=====

What is the formula in the first record? Tl12Se5S2

=====

Look up the density of states at the Fermi level of the first one. 0.07 states/eV/atom